[1]
LaBe2Au8 | PBE | relaxed

Values from the calculation:
Space group ... No. 123
Magnetic moment ... 0.0 Bohr magnetons per cell
Formation energy ... -163.4 kJ/mol of formula units
Final energy ... -3.663 eV per atom

POSCAR file:
```
LaBe2Au8
1.0
5.5603 0.0000 0.0000
0.0000 5.5603 0.0000
0.0000 0.0000 7.8361
La Be Au
1 2 8
direct
0.5000 0.5000 0.5000 La
0.5000 0.0000 0.0000 Be
0.0000 0.5000 0.0000 Be
0.7530 0.7530 0.1930 Au
0.7530 0.2470 0.8070 Au
0.7530 0.7530 0.8070 Au
0.7530 0.2470 0.1930 Au
0.2470 0.7530 0.1930 Au
0.2470 0.7530 0.8070 Au
0.2470 0.2470 0.1930 Au
0.2470 0.2470 0.8070 Au
```


[2]
La3TbPr5 | PBE | relaxed

Values from the calculation:
Space group ... No. 12
Magnetic moment ... 0.0 Bohr magnetons per cell
Formation energy ... 335.1 kJ/mol of formula units
Final energy ... -4.426 eV per atom

POSCAR file:
```
La3TbPr5
1.0
7.9152 0.8278 -0.9783
2.9630 7.3862 -0.9783
2.4096 1.8194 11.8507
La Tb Pr
6 2 10
direct
0.6609 0.6609 0.7767 La
0.7342 0.7342 0.4900 La
0.0000 0.0000 0.0000 La
0.0000 0.0000 0.5000 La
0.3391 0.3391 0.2233 La
0.2658 0.2658 0.5100 La
0.1106 0.1106 0.7435 Tb
0.8894 0.8894 0.2565 Tb
0.9146 0.3375 0.2409 Pr
0.3287 0.6713 0.0000 Pr
0.7547 0.7547 0.0268 Pr
0.5026 0.5026 0.3727 Pr
0.4974 0.4974 0.6273 Pr
0.2453 0.2453 0.9732 Pr
0.3375 0.9146 0.2409 Pr
0.6713 0.3287 0.0000 Pr
0.0854 0.6625 0.7591 Pr
0.6625 0.0854 0.7591 Pr
```


[3]
TbTm2TcO8 | PBE | relaxed

Values from the calculation:
Space group ... No. 65
Magnetic moment ... 0.0 Bohr magnetons per cell
Final energy ... -7.969 eV per atom

POSCAR file:
```
TbTm2TcO8
1.0
5.0015 -0.0306 -0.0031
-0.0037 4.9987 -0.0057
0.0040 0.0073 6.6888
Tb Tm Tc O
1 2 1 8
direct
0.0000 0.0000 0.5000 Tb
0.5000 0.5000 0.7482 Tm
0.5000 0.5000 0.2518 Tm
0.0000 0.0000 0.0000 Tc
0.1845 0.8154 0.2074 O
0.7286 0.7286 0.0000 O
0.8156 0.1847 0.2074 O
0.8155 0.1846 0.7926 O
0.2714 0.2714 0.0000 O
0.1844 0.8153 0.7926 O
0.6895 0.6898 0.5000 O
0.3105 0.3102 0.5000 O
```